(1)
# Er2CuS4, relaxed, DFT GGA-PBE
data_Er2CuS4
_chemical_formula_sum 'Er4 Cu2 S8'
_symmetry_space_group_name_H-M 'P 1'
_symmetry_Int_Tables_number 1
_cell_length_a 7.649
_cell_length_b 7.649
_cell_length_c 7.649
_cell_angle_alpha 60.00
_cell_angle_beta 60.00
_cell_angle_gamma 60.00
loop_
_symmetry_equiv_pos_as_xyz
'x,y,z'
loop_
_atom_site_label
_atom_site_type_symbol
_atom_site_fract_x
_atom_site_fract_y
_atom_site_fract_z
_atom_site_occupancy
S1 S 0.377 0.874 0.874 1
S2 S 0.874 0.377 0.874 1
S3 S 0.376 0.376 0.376 1
S4 S 0.376 0.376 0.873 1
S5 S 0.873 0.376 0.376 1
S6 S 0.874 0.874 0.377 1
S7 S 0.376 0.873 0.376 1
S8 S 0.874 0.874 0.874 1
Er1 Er 0.625 0.625 0.625 1
Er2 Er 0.625 0.125 0.625 1
Er3 Er 0.625 0.625 0.125 1
Er4 Er 0.125 0.625 0.625 1
Cu1 Cu 0.000 0.000 0.000 1
Cu2 Cu 0.250 0.250 0.250 1
# - Size of the total moment: 0.00 μB per formula unit
# - Calculated volume: 316.5 Å³ per cell
# - Calculated total energy: -5.625 eV/atom

***

(2)
# Ta2NbSb, relaxed, DFT GGA-PBE
data_Ta2NbSb
_chemical_formula_sum 'Ta2 Nb1 Sb1'
_symmetry_space_group_name_H-M 'P 1'
_symmetry_Int_Tables_number 1
_cell_length_a 4.739
_cell_length_b 4.739
_cell_length_c 4.739
_cell_angle_alpha 60.00
_cell_angle_beta 60.00
_cell_angle_gamma 60.00
loop_
_symmetry_equiv_pos_as_xyz
'x,y,z'
loop_
_atom_site_label
_atom_site_type_symbol
_atom_site_fract_x
_atom_site_fract_y
_atom_site_fract_z
_atom_site_occupancy
Sb1 Sb 0.500 0.500 0.500 1
Ta1 Ta 0.000 0.000 0.000 1
Ta2 Ta 0.750 0.750 0.750 1
Nb1 Nb 0.250 0.250 0.250 1
# - Size of the total moment: 0.00 μB per formula unit
# - Calculated volume: 75.2 Å³ per cell
# - Calculated total energy: -9.337 eV/atom